Density functional theory data (PBE-GGA) for a relaxed Zn2ReCl crystal.

Summary:
The value obtained for the size of the total moment is 0.0 μB/cell. The excess energy over the best structure of this formula in the dataset is 222 meV per atom. As for the crystal system: orthorhombic. The total energy comes out at -3.828 eV/atom. As for the raw formation energy: 36.9 kJ/mol of atoms. For the mass density, the calculation gives 9.44 g/cm³. The calculated volume comes out at 15.51 A^3/atom.

Cell: 4.838 4.838 2.820 Å, 90.00 90.00 109.96°
Fractional coordinates of all 4 atoms:
1 Zn 0.000 0.500 0.000
2 Zn 0.500 0.000 0.000
3 Re 0.000 0.000 0.500
4 Cl 0.500 0.500 0.500